A relaxed Cs2SrW2 crystal. Source: the Alexandria database, functional PBE.

Lattice parameters (Å, degrees): 5.0903 5.0903 16.3107 90.00 90.00 90.00
Fractional positions:
Cs1 0.0000 0.5000 0.2500
Cs2 0.0000 0.5000 0.7500
Cs3 0.5000 0.0000 0.2500
Cs4 0.5000 0.0000 0.7500
Sr1 0.0000 0.0000 0.0000
Sr2 0.5000 0.5000 0.5000
W1 0.0000 0.0000 0.4353
W2 0.0000 0.0000 0.5647
W3 0.5000 0.5000 0.0647
W4 0.5000 0.5000 0.9353

calculated formation energy	1.601	eV per atom
total energy	-4.258	eV/atom